The following is a PBE calculation of a geometry-optimized Pm6GeIr2Br3 structure, from Alexandria via LeMat-Bulk.

Output
**Magnetization**: 0.00 Bohr magnetons per cell
**Energy relative to the elements, uncorrected**: -1.083 eV per atom
**DFT total energy**: -137.70 eV per cell

Cell: 7.281 12.610 7.996 Å, 90.00 107.67 90.00°
Space group C2/m (No. 12)
One atom of each set of equivalent atoms:
Pm (0.219, 0.000, 0.199) [4 per cell]
Pm (0.240, 0.326, 0.200) [8 per cell]
Ge (0.000, 0.500, 0.000) [2 per cell]
Ir (0.000, 0.167, 0.000) [4 per cell]
Br (0.000, 0.000, 0.500) [2 per cell]
Br (0.000, 0.338, 0.500) [4 per cell]